Entry 1:
PaGeRhO6 after structural relaxation. Source: Alexandria, functional PBE.

```
PaGeRhO6
1.0
5.343 0.000 0.000
-2.672 4.628 0.000
0.000 0.000 8.590
Pa Ge Rh O
2 2 2 12
Direct
0.333 0.667 0.250
0.667 0.333 0.750
0.667 0.333 0.250
0.333 0.667 0.750
0.000 0.000 0.000
0.000 0.000 0.500
0.680 0.646 0.127
0.965 0.320 0.127
0.320 0.965 0.627
0.035 0.680 0.873
0.354 0.320 0.373
0.965 0.646 0.373
0.646 0.965 0.873
0.680 0.035 0.373
0.035 0.354 0.627
0.354 0.035 0.127
0.646 0.680 0.627
0.320 0.354 0.873
```

Properties
Formation energy without anion corrections: -1.8889 eV/atom
Magnetization: 0.00 μB/f.u.
Crystal system: trigonal
Symmetry: P-31c, No. 163
Raw total energy: -7.579 eV per atom

---

Entry 2:
PaGe2RhO8 after structural relaxation. Source: Alexandria, functional PBE.

```
PaGe2RhO8
1.0
-1.992 -4.990 -1.348
4.446 0.414 3.278
-3.756 0.128 5.077
Pa Ge Rh O
1 2 1 8
Direct
0.000 0.000 0.500
0.667 0.333 0.293
0.333 0.667 0.707
0.000 0.000 0.000
0.846 0.154 0.223
0.846 0.693 0.223
0.307 0.154 0.223
0.693 0.846 0.777
0.333 0.667 0.436
0.667 0.333 0.564
0.154 0.846 0.777
0.154 0.307 0.777
```

Properties
Formation energy without anion corrections: -1.6911 eV/atom
Magnetization: 0.00 μB/f.u.
Crystal system: trigonal
Symmetry: P-3m1, No. 164
Raw total energy: -7.170 eV per atom

---

Entry 3:
PaGeRhO after structural relaxation. Source: Alexandria, functional PBE.

```
PaGeRhO
1.0
-2.886 0.236 -2.805
2.046 -2.582 -2.323
-3.797 -6.064 3.397
Pa Ge Rh O
2 2 2 2
Direct
0.500 0.000 0.658
0.000 0.500 0.342
0.000 0.500 0.822
0.500 0.000 0.178
0.500 0.500 0.000
0.000 0.000 0.000
0.000 0.000 0.500
0.500 0.500 0.500
```

Properties
Formation energy without anion corrections: -1.7748 eV/atom
Magnetization: 0.00 μB/f.u.
Crystal system: tetragonal
Symmetry: P4/nmm, No. 129
Raw total energy: -8.381 eV per atom